Entry 1:
# TmGe2PdRh (PBE-GGA, relaxed)
data_TmGe2PdRh
_chemical_formula_sum 'Tm2 Ge4 Pd2 Rh2'
_cell_length_a 4.145
_cell_length_b 4.145
_cell_length_c 10.363
_cell_angle_alpha 90.00
_cell_angle_beta 90.00
_cell_angle_gamma 90.00
_space_group_name_H-M_alt 'I -4 m 2'
_space_group_IT_number 119
_space_group_name_Hall 'I -4 -2'
loop_
_atom_site_label
_atom_site_fract_x
_atom_site_fract_y
_atom_site_fract_z
Tm1 0.000 0.000 0.000
Ge1 0.000 0.000 0.383
Pd1 0.000 0.500 0.750
Rh1 0.000 0.500 0.250
# V = 17.80 Å³/atom
# ΔE_f = -0.7741 eV per atom
# N(E_F) = 6.4 states/eV/cell

---

Entry 2:
# MnCdIr2 (PBE-GGA, relaxed)
data_MnCdIr2
_chemical_formula_sum 'Mn2 Cd2 Ir4'
_cell_length_a 4.030
_cell_length_b 4.030
_cell_length_c 7.533
_cell_angle_alpha 90.00
_cell_angle_beta 90.00
_cell_angle_gamma 90.00
_space_group_name_H-M_alt 'I 4/m m m'
_space_group_IT_number 139
_space_group_name_Hall '-I 4 2'
loop_
_atom_site_label
_atom_site_fract_x
_atom_site_fract_y
_atom_site_fract_z
Mn1 0.000 0.000 0.000
Cd1 0.000 0.000 0.500
Ir1 0.000 0.500 0.250
# V = 15.29 Å³/atom
# ΔE_f = 0.1393 eV per atom
# N(E_F) = 7.6 states/eV/cell

---

Entry 3:
# Y3Si2Os2 (PBE-GGA, relaxed)
data_Y3Si2Os2
_chemical_formula_sum 'Y12 Si8 Os8'
_cell_length_a 5.627
_cell_length_b 7.597
_cell_length_c 13.466
_cell_angle_alpha 90.00
_cell_angle_beta 90.00
_cell_angle_gamma 90.00
_space_group_name_H-M_alt 'P b c m'
_space_group_IT_number 57
loop_
_space_group_symop_operation_xyz
'x,y,z'
'-x,-y,-z'
'-x,-y,z+1/2'
'x,y,-z+1/2'
'x,-y+1/2,-z'
'-x,y+1/2,z'
'-x,y+1/2,-z+1/2'
'x,-y+1/2,z+1/2'
loop_
_atom_site_label
_atom_site_fract_x
_atom_site_fract_y
_atom_site_fract_z
Y1 0.124 0.249 0.250
Y2 0.360 0.606 0.602
Si1 0.095 0.250 0.000
Si2 0.359 0.595 0.250
Os1 0.147 0.526 0.091
# V = 20.56 Å³/atom
# E_tot = -228.6 eV for the cell shown
# N(E_F) = 17.8 states/eV/cell

---

Entry 4:
# CaSbPbF2 (PBE-GGA, relaxed)
data_CaSbPbF2
_chemical_formula_sum 'Ca1 Sb1 Pb1 F2'
_cell_length_a 4.697
_cell_length_b 4.697
_cell_length_c 6.004
_cell_angle_alpha 90.00
_cell_angle_beta 90.00
_cell_angle_gamma 90.00
_space_group_name_H-M_alt 'P 4/m m m'
_space_group_IT_number 123
_space_group_name_Hall '-P 4 2'
loop_
_atom_site_label
_atom_site_fract_x
_atom_site_fract_y
_atom_site_fract_z
Ca1 0.000 0.000 0.000
Sb1 0.500 0.500 0.000
Pb1 0.500 0.500 0.500
F1 0.000 0.500 0.500
# V = 26.49 Å³/atom
# E_tot = -21.3 eV for the cell shown
# N(E_F) = 1.5 states/eV/cell

---

Entry 5:
# Sm3HgP2Rh9 (PBE-GGA, relaxed)
data_Sm3HgP2Rh9
_chemical_formula_sum 'Sm3 Hg1 P2 Rh9'
_cell_length_a 6.0482
_cell_length_b 6.0482
_cell_length_c 9.6088
_cell_angle_alpha 90.00
_cell_angle_beta 90.00
_cell_angle_gamma 120.00
_space_group_name_H-M_alt 'P -3 m 1'
_space_group_IT_number 164
_space_group_name_Hall '-P 3 2"'
loop_
_atom_site_label
_atom_site_fract_x
_atom_site_fract_y
_atom_site_fract_z
Sm1 0.0000 0.0000 0.0000
Sm2 0.3333 0.6667 0.7226
Hg1 0.0000 0.0000 0.5000
P1 0.3333 0.6667 0.1566
Rh1 0.0000 0.5000 0.0000
Rh2 0.1488 0.2977 0.2609
# V = 20.29 Å³/atom
# ΔE_f = -0.5387 eV per atom
# N(E_F) = 14.0 states/eV/cell

---

Entry 6:
# LuUH (PBE-GGA, relaxed)
data_LuUH
_chemical_formula_sum 'Lu4 U4 H4'
_cell_length_a 9.752
_cell_length_b 3.579
_cell_length_c 6.411
_cell_angle_alpha 90.00
_cell_angle_beta 90.60
_cell_angle_gamma 90.00
_space_group_name_H-M_alt 'P 1 21/c 1'
_space_group_IT_number 14
loop_
_space_group_symop_operation_xyz
'x,y,z'
'-x,-y,-z'
'-x,y+1/2,-z+1/2'
'x,-y+1/2,z+1/2'
loop_
_atom_site_label
_atom_site_fract_x
_atom_site_fract_y
_atom_site_fract_z
Lu1 0.148 0.025 0.339
U1 0.430 0.572 0.160
H1 0.197 0.521 0.168
# V = 18.65 Å³/atom
# E_tot = -78.5 eV for the cell shown
# N(E_F) = 11.9 states/eV/cell